No. 1
DFT (GGA-PBE) results for Nd2Sm15Mg2 after structural relaxation.

```
Nd2Sm15Mg2
1.0
5.676 3.277 5.822
-5.676 3.277 5.822
0.000 -6.554 5.822
Nd Sm Mg
2 15 2
Direct
0.179 0.179 0.179
0.821 0.821 0.821
0.000 0.500 0.500
0.136 0.136 0.653
0.136 0.653 0.136
0.204 0.500 0.796
0.204 0.796 0.500
0.347 0.864 0.864
0.500 0.000 0.500
0.500 0.204 0.796
0.500 0.500 0.000
0.500 0.796 0.204
0.653 0.136 0.136
0.796 0.204 0.500
0.796 0.500 0.204
0.864 0.347 0.864
0.864 0.864 0.347
0.407 0.407 0.407
0.593 0.593 0.593
```

Values from the calculation:
As for the symmetry: R-3m.

No. 2
DFT (GGA-PBE) results for NdSm2Mg4 after structural relaxation.

```
NdSm2Mg4
1.0
-2.717 2.717 7.426
2.717 -2.717 7.426
2.717 2.717 -7.426
Nd Sm Mg
1 2 4
Direct
0.000 0.000 0.000
0.253 0.253 0.000
0.747 0.747 0.000
0.117 0.617 0.500
0.383 0.883 0.500
0.617 0.117 0.500
0.883 0.383 0.500
```

Values from the calculation:
As for the symmetry: I4/mmm. The calculation puts the energy above the most stable polymorph in this dataset at 0.00 eV/f.u.

No. 3
DFT (GGA-PBE) results for Nd6Sm12Mg after structural relaxation.

```
Nd6Sm12Mg
1.0
6.612 3.817 4.391
-6.612 3.817 4.391
0.000 -7.635 4.391
Nd Sm Mg
6 12 1
Direct
0.093 0.365 0.365
0.365 0.093 0.365
0.365 0.365 0.093
0.635 0.635 0.907
0.635 0.907 0.635
0.907 0.635 0.635
0.083 0.083 0.670
0.083 0.670 0.083
0.238 0.500 0.762
0.238 0.762 0.500
0.330 0.917 0.917
0.500 0.238 0.762
0.500 0.762 0.238
0.670 0.083 0.083
0.762 0.238 0.500
0.762 0.500 0.238
0.917 0.330 0.917
0.917 0.917 0.330
0.500 0.500 0.500
```

Values from the calculation:
As for the symmetry: R-3m. The calculation puts the energy above the most stable polymorph in this dataset at 0.16 eV/f.u.

No. 4
DFT (GGA-PBE) results for Nd7Sm4Mg after structural relaxation.

```
Nd7Sm4Mg
1.0
6.020 -2.988 0.000
6.020 2.988 0.000
-5.923 0.000 11.670
Nd Sm Mg
7 4 1
Direct
0.000 0.000 0.000
0.135 0.135 0.479
0.297 0.297 0.083
0.401 0.401 0.727
0.599 0.599 0.273
0.703 0.703 0.917
0.865 0.865 0.521
0.132 0.132 0.777
0.344 0.344 0.365
0.656 0.656 0.635
0.868 0.868 0.223
0.500 0.500 0.000
```

Values from the calculation:
As for the symmetry: C2/m.

No. 5
DFT (GGA-PBE) results for Nd2SmMg2 after structural relaxation.

```
Nd2SmMg2
1.0
-2.650 3.581 4.119
2.650 -3.581 4.119
2.650 3.581 -4.119
Nd Sm Mg
2 1 2
Direct
0.194 0.194 0.000
0.806 0.806 0.000
0.500 0.000 0.500
0.206 0.500 0.706
0.794 0.500 0.294
```

Values from the calculation:
As for the symmetry: Immm. The calculation puts the energy above the most stable polymorph in this dataset at 0.56 eV/f.u.

No. 6
DFT (GGA-PBE) results for NdSm5Mg4 after structural relaxation.

```
NdSm5Mg4
1.0
3.799 0.000 0.000
0.000 3.799 0.000
0.000 0.000 20.650
Nd Sm Mg
1 5 4
Direct
0.000 0.000 0.000
0.500 0.500 0.121
0.500 0.500 0.311
0.500 0.500 0.500
0.500 0.500 0.689
0.500 0.500 0.879
0.000 0.000 0.216
0.000 0.000 0.405
0.000 0.000 0.595
0.000 0.000 0.784
```

Values from the calculation:
As for the symmetry: P4/mmm.

No. 7
DFT (GGA-PBE) results for NdSm3Mg2 after structural relaxation.

```
NdSm3Mg2
1.0
3.770 0.000 0.000
0.000 3.770 0.000
0.000 0.000 12.926
Nd Sm Mg
1 3 2
Direct
0.000 0.000 0.000
0.500 0.500 0.195
0.500 0.500 0.500
0.500 0.500 0.805
0.000 0.000 0.348
0.000 0.000 0.652
```

Values from the calculation:
As for the symmetry: P4/mmm.

No. 8
DFT (GGA-PBE) results for Nd7Sm12Mg after structural relaxation.

```
Nd7Sm12Mg
1.0
6.122 3.534 5.336
-6.122 3.534 5.336
0.000 -7.069 5.336
Nd Sm Mg
7 12 1
Direct
0.000 0.000 0.000
0.107 0.424 0.351
0.351 0.107 0.424
0.424 0.351 0.107
0.576 0.649 0.893
0.649 0.893 0.576
0.893 0.576 0.649
0.001 0.886 0.361
0.114 0.639 0.999
0.238 0.363 0.752
0.248 0.762 0.637
0.361 0.001 0.886
0.363 0.752 0.238
0.637 0.248 0.762
0.639 0.999 0.114
0.752 0.238 0.363
0.762 0.637 0.248
0.886 0.361 0.001
0.999 0.114 0.639
0.500 0.500 0.500
```

Values from the calculation:
As for the symmetry: R-3. The calculation puts the energy above the most stable polymorph in this dataset at 0.00 eV/f.u.

No. 9
DFT (GGA-PBE) results for Nd12Sm7Mg after structural relaxation.

```
Nd12Sm7Mg
1.0
6.164 3.559 5.301
-6.164 3.559 5.301
0.000 -7.118 5.301
Nd Sm Mg
12 7 1
Direct
0.005 0.361 0.885
0.115 0.995 0.639
0.235 0.755 0.363
0.245 0.637 0.765
0.361 0.885 0.005
0.363 0.235 0.755
0.637 0.765 0.245
0.639 0.115 0.995
0.755 0.363 0.235
0.765 0.245 0.637
0.885 0.005 0.361
0.995 0.639 0.115
0.000 0.000 0.000
0.110 0.352 0.429
0.352 0.429 0.110
0.429 0.110 0.352
0.571 0.890 0.648
0.648 0.571 0.890
0.890 0.648 0.571
0.500 0.500 0.500
```

Values from the calculation:
As for the symmetry: R-3. The calculation puts the energy above the most stable polymorph in this dataset at 0.00 eV/f.u.

No. 10
DFT (GGA-PBE) results for NdSm7Mg2 after structural relaxation.

```
NdSm7Mg2
1.0
4.406 -8.222 0.000
4.406 8.222 0.000
0.000 0.000 5.419
Nd Sm Mg
1 7 2
Direct
0.000 0.000 0.000
0.068 0.299 0.500
0.215 0.785 0.000
0.299 0.068 0.500
0.500 0.500 0.500
0.701 0.932 0.500
0.785 0.215 0.000
0.932 0.701 0.500
0.297 0.703 0.500
0.703 0.297 0.500
```

Values from the calculation:
As for the symmetry: Cmmm.

No. 11
DFT (GGA-PBE) results for Nd6Sm3Mg after structural relaxation.

```
Nd6Sm3Mg
1.0
3.851 -9.334 0.000
3.851 9.334 0.000
0.000 0.000 9.517
Nd Sm Mg
12 6 2
Direct
0.045 0.955 0.500
0.061 0.454 0.032
0.172 0.305 0.306
0.290 0.710 0.335
0.305 0.172 0.806
0.454 0.061 0.532
0.546 0.939 0.032
0.695 0.828 0.306
0.710 0.290 0.835
0.828 0.695 0.806
0.939 0.546 0.532
0.955 0.045 0.000
0.130 0.376 0.674
0.376 0.130 0.174
0.460 0.540 0.006
0.540 0.460 0.506
0.624 0.870 0.674
0.870 0.624 0.174
0.220 0.780 0.802
0.780 0.220 0.302
```

Values from the calculation:
As for the symmetry: Cmc2_1. The calculation puts the energy above the most stable polymorph in this dataset at 0.00 eV/f.u.

No. 12
DFT (GGA-PBE) results for Nd5Sm2Mg after structural relaxation.

```
Nd5Sm2Mg
1.0
-3.615 3.615 5.078
3.615 -3.615 5.078
3.615 3.615 -5.078
Nd Sm Mg
5 2 1
Direct
0.000 0.000 0.000
0.000 0.000 0.500
0.000 0.500 0.000
0.500 0.000 0.000
0.500 0.500 0.500
0.000 0.500 0.500
0.500 0.000 0.500
0.500 0.500 0.000
```

Values from the calculation:
As for the symmetry: I4/mmm. The calculation puts the energy above the most stable polymorph in this dataset at 0.00 eV/f.u.

No. 13
DFT (GGA-PBE) results for Nd2Sm2Mg3 after structural relaxation.

```
Nd2Sm2Mg3
1.0
3.622 0.000 0.000
1.809 6.795 0.000
1.809 2.723 8.690
Nd Sm Mg
2 2 3
Direct
0.129 0.056 0.186
0.871 0.944 0.814
0.386 0.270 0.460
0.614 0.730 0.540
0.167 0.371 0.793
0.500 0.500 0.000
0.833 0.629 0.207
```

Values from the calculation:
As for the symmetry: P-1. The calculation puts the energy above the most stable polymorph in this dataset at 0.21 eV/f.u.

No. 14
DFT (GGA-PBE) results for NdSmMg after structural relaxation.

```
NdSmMg
1.0
-1.879 1.879 6.600
1.879 -1.879 6.600
1.879 1.879 -6.600
Nd Sm Mg
1 1 1
Direct
0.000 0.000 0.000
0.314 0.314 0.000
0.659 0.659 0.000
```

Values from the calculation:
As for the symmetry: I4mm. The calculation puts the energy above the most stable polymorph in this dataset at 0.01 eV/f.u.

No. 15
DFT (GGA-PBE) results for NdSmMg after structural relaxation.

```
NdSmMg
1.0
6.201 0.000 0.000
0.000 5.653 0.000
0.000 0.000 10.604
Nd Sm Mg
4 4 4
Direct
0.134 0.250 0.186
0.366 0.750 0.686
0.634 0.250 0.314
0.866 0.750 0.814
0.172 0.250 0.516
0.328 0.750 0.016
0.672 0.250 0.984
0.828 0.750 0.484
0.182 0.250 0.843
0.318 0.750 0.343
0.682 0.250 0.657
0.818 0.750 0.157
```

Values from the calculation:
As for the symmetry: Pnma. The calculation puts the energy above the most stable polymorph in this dataset at 0.22 eV/f.u.

No. 16
DFT (GGA-PBE) results for Nd5Sm12Mg2 after structural relaxation.

```
Nd5Sm12Mg2
1.0
7.911 -4.653 0.000
7.911 4.653 0.000
-0.427 0.000 8.628
Nd Sm Mg
5 12 2
Direct
0.000 0.000 0.000
0.232 0.232 0.071
0.294 0.294 0.473
0.706 0.706 0.527
0.768 0.768 0.929
0.039 0.673 0.262
0.075 0.075 0.380
0.179 0.565 0.818
0.327 0.961 0.738
0.435 0.821 0.182
0.443 0.443 0.162
0.557 0.557 0.838
0.565 0.179 0.818
0.673 0.039 0.262
0.821 0.435 0.182
0.925 0.925 0.620
0.961 0.327 0.738
0.336 0.664 0.500
0.664 0.336 0.500
```

Values from the calculation:
As for the symmetry: C2/m.

No. 17
DFT (GGA-PBE) results for NdSm3Mg4 after structural relaxation.

```
NdSm3Mg4
1.0
3.858 0.000 0.000
0.000 5.456 0.000
0.000 0.000 10.910
Nd Sm Mg
1 3 4
Direct
0.000 0.000 0.000
0.000 0.000 0.500
0.000 0.500 0.251
0.000 0.500 0.749
0.500 0.000 0.251
0.500 0.000 0.749
0.500 0.500 0.000
0.500 0.500 0.500
```

Values from the calculation:
As for the symmetry: Pmmm.

No. 18
DFT (GGA-PBE) results for Nd6Sm4Mg after structural relaxation.

```
Nd6Sm4Mg
1.0
-3.318 3.318 8.624
3.318 -3.318 8.624
3.318 3.318 -8.624
Nd Sm Mg
6 4 1
Direct
0.000 0.500 0.500
0.202 0.202 0.658
0.456 0.798 0.000
0.500 0.000 0.500
0.544 0.544 0.342
0.798 0.456 0.000
0.007 0.641 0.000
0.359 0.359 0.366
0.641 0.007 0.000
0.993 0.993 0.634
0.000 0.000 0.000
```

Values from the calculation:
As for the symmetry: I-42m.

No. 19
DFT (GGA-PBE) results for NdSm5Mg after structural relaxation.

```
NdSm5Mg
1.0
4.354 -4.863 0.000
4.354 4.863 0.000
-4.302 0.000 10.994
Nd Sm Mg
2 10 2
Direct
0.248 0.752 0.750
0.752 0.248 0.250
0.089 0.263 0.538
0.107 0.893 0.250
0.263 0.089 0.038
0.322 0.461 0.347
0.461 0.322 0.847
0.539 0.678 0.153
0.678 0.539 0.653
0.737 0.911 0.962
0.893 0.107 0.750
0.911 0.737 0.462
0.000 0.500 0.000
0.500 0.000 0.500
```

Values from the calculation:
As for the symmetry: C2/c.

No. 20
DFT (GGA-PBE) results for Nd3Sm4Mg after structural relaxation.

```
Nd3Sm4Mg
1.0
-1.782 5.883 6.463
1.782 -5.883 6.463
1.782 5.883 -6.463
Nd Sm Mg
3 4 1
Direct
0.000 0.000 0.000
0.266 0.766 0.500
0.734 0.234 0.500
0.120 0.367 0.753
0.386 0.633 0.753
0.614 0.367 0.247
0.880 0.633 0.247
0.500 0.500 0.000
```

Values from the calculation:
As for the symmetry: Immm. The calculation puts the energy above the most stable polymorph in this dataset at 0.59 eV/f.u.

Going through the records in order, we get energy of formation values of 3.94 0.83 2.40 2.67 0.18 -0.72 -0.34 3.81 3.77 5.42 1.04 -0.01 0.15 -0.16 0.05 1.60 -0.85 2.81 0.67 0.65 eV/f.u..
Going through the records in order, we get V values of 34.2 31.3 35.0 35.0 31.3 29.8 30.6 34.6 34.9 39.3 34.2 33.2 30.6 31.1 31.0 33.4 28.7 34.5 33.3 33.9 Å³/atom.